Sc7Al2Ag2 PBE relaxed; uncorrected energy = -56.8 eV/f.u.; formation enthalpy at 0 K = 0.06 eV per atom; symmetry = No. 65
1.0
-0.5780 -4.3810 -4.4067
6.4508 -2.4148 1.5506
-2.1683 -2.3410 5.3633
Sc Ag Al
7 2 2
Cartesian
3.3097 -5.1140 1.6035
0.1806 -6.2401 -1.2830
0.3948 -4.0227 0.9037
0.0000 0.0000 0.0000
2.1517 -6.2554 4.2682
1.5528 -2.8813 -1.7610
3.5240 -2.8966 3.7902
-1.6983 -2.9433 2.4796
5.4028 -6.1934 0.0276
0.9559 -6.7624 1.5658
2.7486 -2.3743 0.9414


Na2Pa2S7 PBE relaxed; uncorrected energy = -63.7 eV/f.u.; symmetry = No. 65; E_form (uncorrected) = -1.20 eV per atom
1.0
-1.3774 1.4669 -6.0187
2.7570 -6.3363 -2.1747
-5.4832 -2.8689 1.4062
Na S Pa
2 7 2
Cartesian
-3.7234 -4.2108 -4.5175
-0.3803 -3.5276 -2.2698
-3.4731 -1.4564 -5.8248
-4.0618 -6.9832 -3.2693
-1.2990 -5.5971 -3.9882
0.0000 0.0000 0.0000
-0.6306 -6.2820 -0.9625
-2.8047 -2.1413 -2.7991
-0.0419 -0.7552 -3.5180
0.2552 -6.0567 -6.1601
-4.3588 -1.6816 -0.6271


Zn12PdRh2 PBE relaxed; uncorrected energy = -35.2 eV/f.u.; formation enthalpy at 0 K = 0.00 eV per atom; symmetry = No. 125
1.0
5.2264 0.0000 0.0000
0.0000 5.2264 0.0000
0.0000 0.0000 18.4670
Zn Rh Pd
24 4 2
Cartesian
1.3064 3.9196 16.6790
2.6132 2.6132 14.6844
0.9152 3.5284 10.4318
1.3064 1.3068 1.7880
0.0000 0.0000 3.7826
3.5284 0.9152 8.0352
4.3111 3.5284 8.0352
0.9152 1.6979 8.0352
0.0000 0.0000 14.6844
4.3111 1.6979 10.4318
1.3068 3.9200 1.7880
3.9196 1.3064 1.7880
1.3068 1.3064 16.6790
2.6132 2.6132 6.1887
3.9196 3.9200 16.6790
2.6132 2.6132 12.2783
1.6979 4.3111 8.0352
3.9200 3.9196 1.7880
2.6132 2.6132 3.7826
3.9200 1.3068 16.6790
0.0000 0.0000 6.1887
0.0000 0.0000 12.2783
3.5284 4.3111 10.4318
1.6979 0.9152 10.4318
2.6132 0.0000 3.6586
0.0000 2.6132 14.8084
2.6132 0.0000 14.8084
0.0000 2.6132 3.6586
0.0000 2.6132 0.0000
2.6132 0.0000 0.0000


Na2NF3 PBE relaxed; uncorrected energy = -23.1 eV/f.u.; symmetry = No. 6; E_form (uncorrected) = -1.09 eV per atom
1.0
-2.8114 1.5615 -0.5270
-3.2324 -5.8698 -0.1480
0.9791 3.6306 5.5341
F Na N
3 2 1
Cartesian
-3.1373 -0.9966 3.7080
-0.9933 2.4293 2.4208
-3.0232 -2.1499 -0.3180
-2.2094 -3.5476 1.2751
-0.0901 1.2184 4.0911
-1.5411 -1.3469 4.2309


MgIn2P PBE relaxed; uncorrected energy = -12.0 eV/f.u.; energy above the most stable polymorph in this dataset = 231 meV per atom; formation enthalpy at 0 K = 0.12 eV per atom; symmetry = No. 123
1.0
3.5533 0.0000 0.0000
0.0000 3.5605 0.0000
0.0000 0.0000 7.1045
In Mg P
2 1 1
Cartesian
0.0000 0.0000 6.8860
0.0000 0.0000 3.7708
1.7767 1.7802 1.7761
1.7767 1.7802 5.3284


LaZnPb2 PBE relaxed; uncorrected energy = -15.1 eV/f.u.; formation enthalpy at 0 K = -0.36 eV per atom; symmetry = No. 123
1.0
4.8492 0.0000 0.0000
0.0000 4.8441 0.0000
0.0000 0.0000 4.6921
La Pb Zn
1 2 1
Cartesian
0.0000 2.4221 2.3460
2.4246 2.4221 0.0000
0.0000 0.0000 0.0000
2.4246 0.0000 2.3460


TmAlHgAu PBE relaxed; uncorrected energy = -13.8 eV/f.u.; formation enthalpy at 0 K = -0.49 eV per atom; symmetry = No. 216
1.0
4.8802 0.0000 0.0000
2.4401 4.2264 0.0000
2.4401 1.4088 3.9847
Al Tm Hg Au
1 1 1 1
Cartesian
2.4401 1.4088 0.9962
7.3204 4.2264 2.9885
4.8802 2.8176 1.9924
0.0000 0.0000 0.0000


AsPtRh2 PBE relaxed; uncorrected energy = -25.3 eV/f.u.; formation enthalpy at 0 K = 0.03 eV per atom; symmetry = No. 160
1.0
-3.1457 -0.0223 8.0835
-1.4749 -2.3563 8.2165
-0.3443 0.2473 8.6636
Pt Rh As
1 2 1
Cartesian
-3.7415 -1.6062 18.8128
-4.9568 -2.1280 24.9235
-1.2147 -0.5215 6.1077
-2.4989 -1.0728 12.5648